(1)
VASP calculation (PBE-GGA) on a relaxed structure of Cu2SbAu.

Cell lengths 3.2951, 3.6838, 5.6102 Å; angles 90.00, 90.00, 90.00 degrees
Last column: nearest neighbours and their distance in Å.
Atoms (fractional coordinates):
Cu  0.0000  0.0000  0.0000  2 Sb 2.68-2.94, 4 Au 2.76, 4 Cu 2.81
Cu  0.5000  0.5000  0.2391  1 Au 2.57, 4 Sb 2.81, 4 Cu 2.81
Sb  0.0000  0.0000  0.4768  6 Cu 2.68-2.94
Au  0.5000  0.5000  0.7809  5 Cu 2.57-2.76

Properties
Crystal system   orthorhombic
Energy relative to the elements, uncorrected   111 meV/atom



(2)
VASP calculation (PBE-GGA) on a relaxed structure of Sr3LaFe.

Cell lengths 5.9314, 5.9314, 5.9314 Å; angles 90.00, 90.00, 90.00 degrees
Last column: nearest neighbours and their distance in Å.
Atoms (fractional coordinates):
Sr  0.0000  0.0000  0.5000  2 Fe 2.97
Sr  0.0000  0.5000  0.0000  2 Fe 2.97
Sr  0.5000  0.0000  0.0000  2 Fe 2.97
La  0.5000  0.5000  0.5000  12 Sr 4.19
Fe  0.0000  0.0000  0.0000  6 Sr 2.97

Properties
Energy above the most stable polymorph in this dataset   0.0 meV/atom
Crystal system   cubic



no.,spin magnetization (μB/cell),energy (eV per formula unit)
1,0.0,-15.148
2,2.0,-15.834